This record from Alexandria via LeMat-Bulk describes an optimized crystal structure of TaCdAs2Pd. The functional is PBE-GGA.

Unit cell a=4.9045 b=4.9045 c=5.2266 alpha=90.00 beta=90.00 gamma=90.00
Closest atoms and distances in Å follow each position.
Atoms (fractional coordinates):
Ta 0.0000 0.0000 0.0000  2 Cd 2.61
Cd 0.0000 0.0000 0.5000  4 As 2.45, 2 Ta 2.61
As 0.0000 0.5000 0.5000  2 Cd 2.45
As 0.5000 0.0000 0.5000  2 Cd 2.45
Pd 0.5000 0.5000 0.0000  4 Ta 3.47, 8 As 3.58

Summary:
The total energy is -18.9 eV per formula unit. The calculation puts the magnetization at 0.0 μB/f.u. The density of states at the Fermi level is 0.90 states/eV/atom.